1.
Here is an optimized crystal structure of La5NdHg4 from the Alexandria database. Energies are from GGA-PBE.

a = 3.8789 Å, b = 3.8789 Å, c = 20.7690 Å
α = 90.00°, β = 90.00°, γ = 90.00°
Site moments in Bohr magnetons follow the coordinates.
Atoms (fractional coordinates):
1 La 0.5000 0.5000 0.1203  -0.01
2 La 0.5000 0.5000 0.3104  -0.16
3 La 0.5000 0.5000 0.5000  -0.16
4 La 0.5000 0.5000 0.6896  -0.16
5 La 0.5000 0.5000 0.8797  -0.01
6 Nd 0.0000 0.0000 0.0000  0.01
7 Hg 0.0000 0.0000 0.2124  -0.01
8 Hg 0.0000 0.0000 0.4055  -0.01
9 Hg 0.0000 0.0000 0.5945  -0.01
10 Hg 0.0000 0.0000 0.7876  -0.01

* symmetry: P4/mmm


2.
Here is an optimized crystal structure of LaNd2Hg from the Alexandria database. Energies are from GGA-PBE.

a = 5.5369 Å, b = 5.5369 Å, c = 5.5369 Å
α = 60.00°, β = 60.00°, γ = 60.00°
Site moments in Bohr magnetons follow the coordinates.
Atoms (fractional coordinates):
1 Nd 0.2500 0.2500 0.2500  0.24
2 Nd 0.7500 0.7500 0.7500  0.24
3 Hg 0.0000 0.0000 0.0000  -0.01
4 La 0.5000 0.5000 0.5000  0.44

* ΔE to the lowest computed polymorph: 0.170 eV/atom
* symmetry: Fm-3m


3.
Here is an optimized crystal structure of La6Nd3Hg from the Alexandria database. Energies are from GGA-PBE.

a = 5.2930 Å, b = 11.2279 Å, c = 11.7422 Å
α = 94.07°, β = 90.00°, γ = 90.00°
Atoms (fractional coordinates):
1 La 0.2500 0.4525 0.0988
2 La 0.7500 0.5475 0.9012
3 La 0.2500 0.1597 0.1752
4 La 0.7500 0.8403 0.8248
5 La 0.2500 0.6500 0.7062
6 La 0.7500 0.3500 0.2938
7 La 0.2500 0.2234 0.4876
8 La 0.7500 0.7766 0.5124
9 La 0.2500 0.8769 0.3241
10 La 0.7500 0.1231 0.6759
11 La 0.2500 0.0409 0.8827
12 La 0.7500 0.9591 0.1173
13 Nd 0.2500 0.5519 0.4050
14 Nd 0.7500 0.4481 0.5950
15 Nd 0.2500 0.3410 0.7914
16 Nd 0.7500 0.6590 0.2086
17 Nd 0.2500 0.7564 0.0167
18 Nd 0.7500 0.2436 0.9833
19 Hg 0.2500 0.9318 0.6162
20 Hg 0.7500 0.0682 0.3838

* ΔE to the lowest computed polymorph: 0.000 eV/atom
* symmetry: P2_1/m


4.
Here is an optimized crystal structure of LaNdHg6 from the Alexandria database. Energies are from GGA-PBE.

a = 5.0861 Å, b = 6.8614 Å, c = 6.8614 Å
α = 119.71°, β = 90.00°, γ = 90.00°
Atoms (fractional coordinates):
1 La 0.5000 0.4133 0.5867
2 Nd 0.0000 0.0867 0.9133
3 Hg 0.0000 0.0700 0.4069
4 Hg 0.0000 0.5931 0.9300
5 Hg 0.0000 0.5862 0.4138
6 Hg 0.5000 0.4248 0.0910
7 Hg 0.5000 0.9090 0.5752
8 Hg 0.5000 0.9164 0.0836

* symmetry: Amm2


5.
Here is an optimized crystal structure of La8NdHg2 from the Alexandria database. Energies are from GGA-PBE.

a = 5.9496 Å, b = 8.8584 Å, c = 8.8584 Å
α = 118.46°, β = 100.35°, γ = 100.35°
Atoms (fractional coordinates):
1 La 0.9045 0.9139 0.6946
2 La 0.9045 0.6946 0.9139
3 La 0.3059 0.6024 0.6024
4 La 0.5000 0.7716 0.2284
5 La 0.5000 0.2284 0.7716
6 La 0.6941 0.3976 0.3976
7 La 0.0955 0.3054 0.0861
8 La 0.0955 0.0861 0.3054
9 Nd 0.5000 0.0000 0.0000
10 Hg 0.0000 0.3068 0.6932
11 Hg 0.0000 0.6932 0.3068

* ΔE to the lowest computed polymorph: 0.051 eV/atom
* symmetry: C2/m


6.
Here is an optimized crystal structure of LaNd6Hg2 from the Alexandria database. Energies are from GGA-PBE.

a = 6.2514 Å, b = 9.8481 Å, c = 9.8481 Å
α = 72.50°, β = 85.24°, γ = 85.24°
Atoms (fractional coordinates):
1 La 0.2500 0.1070 0.8930
2 La 0.7500 0.8930 0.1070
3 Nd 0.4950 0.6766 0.4424
4 Nd 0.0050 0.5576 0.3234
5 Nd 0.5050 0.3234 0.5576
6 Nd 0.9950 0.4424 0.6766
7 Nd 0.6691 0.1055 0.3518
8 Nd 0.8309 0.6482 0.8945
9 Nd 0.3309 0.8945 0.6482
10 Nd 0.1691 0.3518 0.1055
11 Nd 0.3077 0.7295 0.0342
12 Nd 0.1923 0.9658 0.2705
13 Nd 0.6923 0.2705 0.9658
14 Nd 0.8077 0.0342 0.7295
15 Hg 0.4024 0.5373 0.7938
16 Hg 0.0976 0.2062 0.4627
17 Hg 0.5976 0.4627 0.2062
18 Hg 0.9024 0.7938 0.5373

* ΔE to the lowest computed polymorph: 0.066 eV/atom
* symmetry: C2/c


7.
Here is an optimized crystal structure of La6NdHg from the Alexandria database. Energies are from GGA-PBE.

a = 6.7806 Å, b = 6.7874 Å, c = 8.9126 Å
α = 67.78°, β = 67.89°, γ = 59.89°
Site moments in Bohr magnetons follow the coordinates.
Atoms (fractional coordinates):
1 La 0.0460 0.4370 0.7266  0.07
2 La 0.7903 0.0416 0.7265  0.07
3 La 0.5586 0.2126 0.2716  0.07
4 La 0.2097 0.9584 0.2735  0.07
5 La 0.9540 0.5630 0.2734  0.07
6 La 0.4414 0.7874 0.7284  0.07
7 Nd 0.5000 0.5000 0.5000  0.25
8 Hg 0.0000 0.0000 0.0000  0.00

* ΔE to the lowest computed polymorph: 0.356 eV/atom
* symmetry: P-1


8.
Here is an optimized crystal structure of La3NdHg2 from the Alexandria database. Energies are from GGA-PBE.

a = 5.4158 Å, b = 7.1233 Å, c = 9.8787 Å
α = 90.00°, β = 90.00°, γ = 90.00°
Atoms (fractional coordinates):
1 La 0.0000 0.4910 0.9419
2 La 0.0000 0.9910 0.0581
3 La 0.5000 0.6871 0.1740
4 La 0.5000 0.1871 0.8260
5 La 0.0000 0.3110 0.3269
6 La 0.0000 0.8110 0.6731
7 Nd 0.5000 0.5103 0.5536
8 Nd 0.5000 0.0103 0.4464
9 Hg 0.5000 0.7310 0.8490
10 Hg 0.5000 0.2310 0.1510
11 Hg 0.0000 0.2696 0.6471
12 Hg 0.0000 0.7696 0.3529

* ΔE to the lowest computed polymorph: 0.000 eV/atom
* symmetry: Pmc2_1


| no. | density of states at the Fermi level (states/eV/f.u.) | energy relative to the elements (meV/atom) | energy (eV/atom) |
| --- | --- | --- | --- |
| 1 | 12.06 | -394 | -3.46 |
| 2 | 5.72 | -65 | -3.76 |
| 3 | 15.83 | -63 | -4.48 |
| 4 | 6.50 | -411 | -1.85 |
| 5 | 13.99 | -99 | -4.17 |
| 6 | 11.82 | -145 | -3.94 |
| 7 | 13.99 | 269 | -4.06 |
| 8 | 4.76 | -342 | -3.70 |